Arrangement w

This record from Alexandria describes a relaxed structure of Ni3Mo2. The functional is PBE.

Calculated values
**Volume**: 13.1 Å³ per atom
**SG**: R-3m, No. 166

Cell and atoms, written as POSCAR:
```
Ni3Mo2
1.0
-5.284 -0.362 -9.474
-3.700 -2.440 -9.908
-5.990 -2.767 -8.618
Ni Mo
3 2
Cartesian
0.000 0.000 0.000
-12.011 -4.468 -22.460
-2.963 -1.102 -5.540
-8.956 -3.331 -16.747
-6.018 -2.239 -11.254
```

Arrangement x

This record from Alexandria describes a relaxed structure of Ni3Mo2. The functional is PBE.

Calculated values
**Volume**: 12.9 Å³ per atom
**SG**: Fdd2, No. 43

Cell and atoms, written as POSCAR:
```
Ni3Mo2
1.0
-4.088 3.292 5.436
-0.370 5.741 3.579
-4.484 1.426 -1.064
Ni Mo
6 4
Cartesian
-3.924 3.956 3.123
-4.837 5.584 5.520
-6.154 8.313 7.419
-7.078 6.456 5.199
-4.852 7.155 2.523
-2.233 2.603 1.996
-6.162 5.078 3.228
-2.964 6.309 4.022
-3.911 7.099 7.383
-4.832 2.351 1.328
```

Relative energies, in eV/atom, with the most stable structure set to zero: arrangement w 0.045; arrangement x 0.000.